Model one:
The following is a DFT calculation (PBE-GGA) of a geometry-optimized RbTa2Pt structure.

For the total magnetic moment, the calculation gives 0.0 μB/f.u. The volume is 501 Å³ per cell. The density of states at the Fermi level is 5.36 states/eV/f.u.

The space group is I-42d (No. 122) and the conventional cell measures 5.2677, 5.2677 and 18.0726 Å, with angles of 90.00, 90.00 and 90.00 degrees. The inequivalent atoms are Rb at (0.0000, 0.0000, 0.0000), Ta at (0.0227, 0.2500, 0.6250) and Pt at (0.0000, 0.0000, 0.5000).


Model two:
The following is a DFT calculation (PBE-GGA) of a geometry-optimized RbTa2Pt structure.

For the total magnetic moment, the calculation gives 0.0 μB/f.u. The volume is 302 Å³ per cell. The density of states at the Fermi level is 2.83 states/eV/f.u.

The space group is Fm-3m (No. 225) and the conventional cell measures 6.7117, 6.7117 and 6.7117 Å, with angles of 90.00, 90.00 and 90.00 degrees. The inequivalent atoms are Rb at (0.0000, 0.0000, 0.0000), Ta at (0.2500, 0.2500, 0.2500) and Pt at (0.0000, 0.0000, 0.5000).


Of them, model one has the lowest stability.


Model one:
The following is a DFT calculation (PBE-GGA) of a geometry-optimized Rb2TcPt structure.

For the total magnetic moment, the calculation gives 3.2 μB/f.u. The volume is 788 Å³ per cell. The density of states at the Fermi level is 3.92 states/eV/f.u.

The space group is I-42d (No. 122) and the conventional cell measures 12.7648, 12.7648 and 4.8370 Å, with angles of 90.00, 90.00 and 90.00 degrees. The inequivalent atoms are Rb at (0.0756, 0.2500, 0.1250), Tc at (0.0000, 0.0000, 0.5000) and Pt at (0.0000, 0.0000, 0.0000).


Model two:
The following is a DFT calculation (PBE-GGA) of a geometry-optimized Rb2TcPt structure.

For the total magnetic moment, the calculation gives 4.9 μB/f.u. The volume is 525 Å³ per cell. The density of states at the Fermi level is 4.36 states/eV/f.u.

The space group is Fm-3m (No. 225) and the conventional cell measures 8.0659, 8.0659 and 8.0659 Å, with angles of 90.00, 90.00 and 90.00 degrees. The inequivalent atoms are Rb at (0.2500, 0.2500, 0.2500), Tc at (0.0000, 0.0000, 0.0000) and Pt at (0.0000, 0.0000, 0.5000).


Of them, model two has the lowest stability.


Model one:
The following is a DFT calculation (PBE-GGA) of a geometry-optimized RbTcPt2 structure.

For the total magnetic moment, the calculation gives 0.0 μB/f.u. The volume is 484 Å³ per cell. The density of states at the Fermi level is 5.52 states/eV/f.u.

The space group is I-42d (No. 122) and the conventional cell measures 7.7411, 7.7411 and 8.0762 Å, with angles of 90.00, 90.00 and 90.00 degrees. The inequivalent atoms are Rb at (0.0000, 0.0000, 0.0000), Tc at (0.0000, 0.0000, 0.5000) and Pt at (0.1281, 0.2500, 0.6250).


Model two:
The following is a DFT calculation (PBE-GGA) of a geometry-optimized RbTcPt2 structure.

For the total magnetic moment, the calculation gives 3.8 μB/f.u. The volume is 323 Å³ per cell. The density of states at the Fermi level is 1.30 states/eV/f.u.

The space group is Fm-3m (No. 225) and the conventional cell measures 6.8628, 6.8628 and 6.8628 Å, with angles of 90.00, 90.00 and 90.00 degrees. The inequivalent atoms are Rb at (0.0000, 0.0000, 0.0000), Tc at (0.0000, 0.0000, 0.5000) and Pt at (0.2500, 0.2500, 0.2500).


Of them, model two has the lowest stability.


Model one:
The following is a DFT calculation (PBE-GGA) of a geometry-optimized RbTePt3 structure.

For the total magnetic moment, the calculation gives 0.0 μB/f.u. The volume is 134 Å³ per cell. The density of states at the Fermi level is 6.26 states/eV/f.u.

The space group is Pm-3m (No. 221) and the conventional cell measures 5.1122, 5.1122 and 5.1122 Å, with angles of 90.00, 90.00 and 90.00 degrees. The inequivalent atoms are Rb at (0.0000, 0.0000, 0.0000), Te at (0.5000, 0.5000, 0.5000) and Pt at (0.0000, 0.0000, 0.5000).


Model two:
The following is a DFT calculation (PBE-GGA) of a geometry-optimized RbTePt3 structure.

For the total magnetic moment, the calculation gives 0.0 μB/f.u. The volume is 134 Å³ per cell. The density of states at the Fermi level is 5.62 states/eV/f.u.

The space group is Pm-3m (No. 221) and the conventional cell measures 5.1114, 5.1114 and 5.1114 Å, with angles of 90.00, 90.00 and 90.00 degrees. The inequivalent atoms are Rb at (0.0000, 0.0000, 0.0000), Te at (0.5000, 0.5000, 0.5000) and Pt at (0.0000, 0.5000, 0.5000).


Of them, model one has the lowest stability.